[1]
Density functional theory data (PBE) for TeHIrBr2 after structural relaxation.

Geometry as CIF:
```
data_TeHIrBr2
_space_group_name_H-M_alt 'P 4/m m m'
_space_group_IT_number 123
_space_group_name_Hall '-P 4 2'
_cell_length_a 5.338
_cell_length_b 5.338
_cell_length_c 5.008
_cell_angle_alpha 90.00
_cell_angle_beta 90.00
_cell_angle_gamma 90.00
loop_
_atom_site_label
_atom_site_fract_x
_atom_site_fract_y
_atom_site_fract_z
Te1 0.000 0.000 0.000
H1 0.500 0.500 0.000
Ir1 0.000 0.000 0.500
Br1 0.000 0.500 0.500
```

Computed properties:
* size of the total moment: 0.901 μB per formula unit

---

[2]
Density functional theory data (PBE) for KHBr2 after structural relaxation.

Geometry as CIF:
```
data_KHBr2
_space_group_name_H-M_alt 'R -3 m'
_space_group_IT_number 166
_space_group_name_Hall '-R 3 2"'
_cell_length_a 3.9790
_cell_length_b 3.9790
_cell_length_c 25.6145
_cell_angle_alpha 90.00
_cell_angle_beta 90.00
_cell_angle_gamma 120.00
loop_
_atom_site_label
_atom_site_fract_x
_atom_site_fract_y
_atom_site_fract_z
K1 0.0000 0.0000 0.0000
H1 0.0000 0.0000 0.5000
Br1 0.0000 0.0000 0.1148
```

Computed properties:
* size of the total moment: 0.000 μB per formula unit

---

[3]
Density functional theory data (PBE) for KHBr2 after structural relaxation.

Geometry as CIF:
```
data_KHBr2
_space_group_name_H-M_alt 'R -3 m'
_space_group_IT_number 166
_space_group_name_Hall '-R 3 2"'
_cell_length_a 5.1794
_cell_length_b 5.1794
_cell_length_c 19.2982
_cell_angle_alpha 90.00
_cell_angle_beta 90.00
_cell_angle_gamma 120.00
loop_
_atom_site_label
_atom_site_fract_x
_atom_site_fract_y
_atom_site_fract_z
K1 0.0000 0.0000 0.0000
H1 0.0000 0.0000 0.5000
Br1 0.0000 0.0000 0.4115
```

Computed properties:
* size of the total moment: 0.000 μB per formula unit

---

[4]
Density functional theory data (PBE) for KHBr2 after structural relaxation.

Geometry as CIF:
```
data_KHBr2
_space_group_name_H-M_alt 'P 1 2/c 1'
_space_group_IT_number 13
_space_group_name_Hall '-P 2yc'
_cell_length_a 6.552
_cell_length_b 6.086
_cell_length_c 15.908
_cell_angle_alpha 90.00
_cell_angle_beta 102.42
_cell_angle_gamma 90.00
loop_
_atom_site_label
_atom_site_fract_x
_atom_site_fract_y
_atom_site_fract_z
K1 0.175 0.235 0.125
H1 0.194 0.071 0.873
Br1 0.046 0.263 0.912
Br2 0.313 0.152 0.338
```

Computed properties:
* size of the total moment: 0.000 μB per formula unit

---

[5]
Density functional theory data (PBE) for K3H4Br after structural relaxation.

Geometry as CIF:
```
data_K3H4Br
_space_group_name_H-M_alt 'C 1 2/m 1'
_space_group_IT_number 12
_space_group_name_Hall '-C 2y'
_cell_length_a 27.197
_cell_length_b 4.458
_cell_length_c 4.630
_cell_angle_alpha 90.00
_cell_angle_beta 96.81
_cell_angle_gamma 90.00
loop_
_atom_site_label
_atom_site_fract_x
_atom_site_fract_y
_atom_site_fract_z
K1 0.000 0.000 0.000
K2 0.193 0.000 0.710
H1 0.081 0.500 0.926
H2 0.101 0.500 0.056
Br1 0.000 0.500 0.500
```

Computed properties:
* size of the total moment: 0.000 μB per formula unit

---

[6]
Density functional theory data (PBE) for KH4Br after structural relaxation.

Geometry as CIF:
```
data_KH4Br
_space_group_name_H-M_alt 'C 1 2/m 1'
_space_group_IT_number 12
_space_group_name_Hall '-C 2y'
_cell_length_a 10.855
_cell_length_b 4.550
_cell_length_c 4.622
_cell_angle_alpha 90.00
_cell_angle_beta 110.92
_cell_angle_gamma 90.00
loop_
_atom_site_label
_atom_site_fract_x
_atom_site_fract_y
_atom_site_fract_z
K1 0.000 0.000 0.000
H1 0.217 0.500 0.075
H2 0.235 0.000 0.760
Br1 0.000 0.500 0.500
```

Computed properties:
* size of the total moment: 0.000 μB per formula unit

---

| no. | DOS at the Fermi energy (states/eV/f.u.) | calculated volume (Å³/cell) | final energy (eV for the cell shown) |
| --- | --- | --- | --- |
| 1 | 3.44 | 142.71 | -15.18 |
| 2 | 0.00 | 351.20 | -22.64 |
| 3 | 0.00 | 448.33 | -35.47 |
| 4 | 0.00 | 619.42 | -46.81 |
| 5 | 1.72 | 557.44 | -42.68 |
| 6 | 0.00 | 213.22 | -39.04 |